VASP calculation (PBEsol) on Mn2P after structural relaxation.

a b c (Å): 5.868 5.868 3.339
angles (deg): 90.00 90.00 120.00
Element x y z (fractional)
1 Mn 0.000 0.406 0.000
2 Mn 0.000 0.749 0.500
3 Mn 0.251 0.251 0.500
4 Mn 0.406 0.000 0.000
5 Mn 0.594 0.594 0.000
6 Mn 0.749 0.000 0.500
7 P 0.000 0.000 0.000
8 P 0.333 0.667 0.500
9 P 0.667 0.333 0.500

- density of states at the Fermi level (states/eV/cell) = 7.05
- total moment (Bohr magnetons per cell) = 7.8
- formation energy from the elements (eV per atom) = -0.52

VASP calculation (PBEsol) on Cs3Er2Br9 after structural relaxation.

a b c (Å): 10.054 10.054 10.054
angles (deg): 83.69 83.69 83.69
Element x y z (fractional)
1 Cs 0.088 0.750 0.412
2 Cs 0.250 0.588 0.912
3 Cs 0.412 0.088 0.750
4 Cs 0.588 0.912 0.250
5 Cs 0.750 0.412 0.088
6 Cs 0.912 0.250 0.588
7 Er 0.151 0.151 0.151
8 Er 0.349 0.349 0.349
9 Er 0.651 0.651 0.651
10 Er 0.849 0.849 0.849
11 Br 0.081 0.266 0.914
12 Br 0.086 0.919 0.734
13 Br 0.092 0.408 0.250
14 Br 0.234 0.419 0.586
15 Br 0.250 0.092 0.408
16 Br 0.266 0.914 0.081
17 Br 0.408 0.250 0.092
18 Br 0.414 0.766 0.581
19 Br 0.419 0.586 0.234
20 Br 0.581 0.414 0.766
21 Br 0.586 0.234 0.419
22 Br 0.592 0.750 0.908
23 Br 0.734 0.086 0.919
24 Br 0.750 0.908 0.592
25 Br 0.766 0.581 0.414
26 Br 0.908 0.592 0.750
27 Br 0.914 0.081 0.266
28 Br 0.919 0.734 0.086

- density of states at the Fermi level (states/eV/cell) = 0.00
- total moment (Bohr magnetons per cell) = 0.0
- calculated total energy (eV/atom) = -3.9931

VASP calculation (PBEsol) on NdSiAg after structural relaxation.

a b c (Å): 4.390 4.390 7.733
angles (deg): 90.00 90.00 120.00
Element x y z (fractional)
1 Nd 0.000 0.000 0.000
2 Nd 0.000 0.000 0.500
3 Si 0.333 0.667 0.250
4 Si 0.667 0.333 0.750
5 Ag 0.333 0.667 0.750
6 Ag 0.667 0.333 0.250

- density of states at the Fermi level (states/eV/cell) = 1.52
- total moment (Bohr magnetons per cell) = 0.0
- calculated total energy (eV/atom) = -5.3221

- The highest density of states at the Fermi level belongs to which entry?
  Mn2P

- Number 2 is which compound?
  Cs3Er2Br9

Please write out number 3 again, unchanged.
VASP calculation (PBEsol) on NdSiAg after structural relaxation.

a b c (Å): 4.390 4.390 7.733
angles (deg): 90.00 90.00 120.00
Element x y z (fractional)
1 Nd 0.000 0.000 0.000
2 Nd 0.000 0.000 0.500
3 Si 0.333 0.667 0.250
4 Si 0.667 0.333 0.750
5 Ag 0.333 0.667 0.750
6 Ag 0.667 0.333 0.250

- density of states at the Fermi level (states/eV/cell) = 1.52
- total moment (Bohr magnetons per cell) = 0.0
- calculated total energy (eV/atom) = -5.3221